Entry 1:
The following is a PBE calculation of a relaxed ErMgAu crystal, from the Alexandria database.

a b c (Å): 7.649 7.649 3.983
angles (deg): 90.00 90.00 120.00
Positions (direct):
Er (0.000, 0.590, 0.000)
Er (0.410, 0.410, 0.000)
Er (0.590, 0.000, 0.000)
Mg (0.000, 0.250, 0.500)
Mg (0.250, 0.000, 0.500)
Mg (0.750, 0.750, 0.500)
Au (0.000, 0.000, 0.000)
Au (0.333, 0.667, 0.500)
Au (0.667, 0.333, 0.500)

total energy = -34.47 eV per cell
energy of formation from the pure elements = -2.056 eV/f.u.
DOS at the Fermi energy = 6.5 states/eV/cell

=====

Entry 2:
The following is a PBE calculation of a relaxed SrNbSe2N crystal, from the Alexandria database.

a b c (Å): 5.270 5.270 3.995
angles (deg): 90.00 90.00 90.00
Positions (direct):
Sr (0.000, 0.000, 0.000)
Nb (0.500, 0.500, 0.500)
Se (0.000, 0.500, 0.500)
Se (0.500, 0.000, 0.500)
N (0.500, 0.500, 0.000)

uncorrected formation energy = -927 meV/atom
total energy = -31.68 eV per cell
relative energy among the computed polymorphs = 0 meV/atom
DOS at the Fermi energy = 1.4 states/eV/cell

=====

Entry 3:
The following is a PBE calculation of a relaxed DyLu2Sb crystal, from the Alexandria database.

a b c (Å): 4.724 4.724 4.715
angles (deg): 90.00 90.00 90.00
Positions (direct):
Dy (0.000, 0.000, 0.000)
Lu (0.000, 0.500, 0.500)
Lu (0.500, 0.000, 0.500)
Sb (0.500, 0.500, 0.000)

uncorrected formation energy = -424 meV/atom
total energy = -19.46 eV per cell
relative energy among the computed polymorphs = 8 meV/atom
DOS at the Fermi energy = 5.6 states/eV/cell

=====

- Look up the DOS at the Fermi energy of the second one.
  1.4 states/eV/cell

=====

- Among the records above, which one has the lowest total energy?
  ErMgAu

=====

- What is the DOS at the Fermi energy in the first record?
  6.5 states/eV/cell